Run P
Material: PaMn2Cr
Method: DFT, PBE
State: relaxed

Cell: 2.8717 2.8717 7.0620 Å, 90.00 90.00 90.00°
Space group P4/mmm (No. 123)
Unique sites:
Pa (0.0000, 0.0000, 0.0000) (multiplicity 1)
Mn (0.5000, 0.5000, 0.3068) (multiplicity 2)
Cr (0.0000, 0.0000, 0.5000) (multiplicity 1)

Calculated values
**DOS(E_F)**: 1.18 states/eV per atom
**Total magnetization**: 1.00 Bohr magnetons per cell


Run Q
Material: PaMn2Cr
Method: DFT, PBE
State: relaxed

Cell: 2.8798 2.8798 25.9725 Å, 90.00 90.00 120.00°
Space group R-3m (No. 166, hexagonal axes)
Unique sites:
Pa (0.0000, 0.0000, 0.0000) (multiplicity 3)
Mn (0.0000, 0.0000, 0.0970) (multiplicity 6)
Cr (0.0000, 0.0000, 0.5000) (multiplicity 3)

Calculated values
**DOS(E_F)**: 1.28 states/eV per atom
**Total magnetization**: 8.04 Bohr magnetons per cell


Order of stability, best first: run P, run Q


Run P
Material: MnCrPb
Method: DFT, PBE
State: relaxed

Cell: 4.6007 4.6007 3.1984 Å, 90.00 90.00 120.00°
Space group P3m1 (No. 156)
Unique sites:
Mn (0.0000, 0.0000, 0.0000) (multiplicity 1)
Cr (0.6667, 0.3333, 0.5823) (multiplicity 1)
Pb (0.3333, 0.6667, 0.2857) (multiplicity 1)

Calculated values
**DOS(E_F)**: 0.91 states/eV per atom
**Total magnetization**: 7.44 Bohr magnetons per cell


Run Q
Material: MnCrPb
Method: DFT, PBE
State: relaxed

Cell: 11.5490 3.1507 3.1337 Å, 90.00 98.79 90.00°
Space group Cm (No. 8)
Unique sites:
Mn (0.0000, 0.0000, 0.0000) (multiplicity 2)
Cr (0.3951, 0.0000, 0.4488) (multiplicity 2)
Pb (0.1962, 0.5000, 0.7295) (multiplicity 2)

Calculated values
**DOS(E_F)**: 0.90 states/eV per atom
**Total magnetization**: 0.32 Bohr magnetons per cell


Order of stability, best first: run Q, run P